# MgCr2Os

Crystalline MgCr2Os at its relaxed geometry (PBE, Alexandria via LeMat-Bulk).

size of the total moment: 0.0 μB per formula unit
DOS(E_F): 3.62 states/eV/f.u.
V: 14.2 A^3/atom
ΔE_f: 1.7 eV per formula unit

Structure (CIF):
```
data_MgCr2Os
_cell_length_a 2.6941
_cell_length_b 2.6941
_cell_length_c 27.0234
_cell_angle_alpha 90.00
_cell_angle_beta 90.00
_cell_angle_gamma 120.00
_space_group_name_H-M_alt 'R -3 m'
_space_group_IT_number 166
_space_group_name_Hall '-R 3 2"'
loop_
_atom_site_label
_atom_site_fract_x
_atom_site_fract_y
_atom_site_fract_z
Mg1 0.0000 0.0000 0.0000
Cr1 0.0000 0.0000 0.2448
Os1 0.0000 0.0000 0.5000
```

---

# Dy6GaCo

Crystalline Dy6GaCo at its relaxed geometry (PBE, Alexandria via LeMat-Bulk).

size of the total moment: 0.0 μB per formula unit
DOS(E_F): 10.48 states/eV/f.u.
V: 29.1 A^3/atom
ΔE_f: -0.3 eV per formula unit

Structure (CIF):
```
data_Dy6GaCo
_cell_length_a 7.134
_cell_length_b 10.459
_cell_length_c 6.473
_cell_angle_alpha 90.00
_cell_angle_beta 105.41
_cell_angle_gamma 90.00
_space_group_name_H-M_alt 'C 1 2/m 1'
_space_group_IT_number 12
_space_group_name_Hall '-C 2y'
loop_
_atom_site_label
_atom_site_fract_x
_atom_site_fract_y
_atom_site_fract_z
Dy1 0.180 0.179 0.253
Dy2 0.232 0.500 0.188
Ga1 0.000 0.500 0.500
Co1 0.000 0.000 0.000
```

---

Which value of V does entry 2 give?
29.1 A^3/atom